Entry 1:
Density functional theory data (meta-GGA SCAN) for Ta3GeO at its PBEsol-relaxed geometry.

Cell: 4.1785 4.1785 4.1785 Å, 90.00 90.00 90.00°
Closest atoms and distances in Å follow each position.
Fractional coordinates of all 5 atoms:
Ta1 0.0000 0.0000 0.5000  2 O 2.09
Ta2 0.0000 0.5000 0.0000  2 O 2.09
Ta3 0.5000 0.0000 0.0000  2 O 2.09
Ge1 0.5000 0.5000 0.5000  12 Ta 2.95
O1 0.0000 0.0000 0.0000  6 Ta 2.09

Computed properties:
Magnetization, μB/cell: 0.00
Formation energy without anion corrections, kJ/mol of formula units: -252

***

Entry 2:
Density functional theory data (meta-GGA SCAN) for LiCaHg at its PBEsol-relaxed geometry.

Cell: 4.7217 4.7217 3.7818 Å, 90.00 90.00 120.00°
Closest atoms and distances in Å follow each position.
Fractional coordinates of all 3 atoms:
Li1 0.0000 0.0000 0.0000  3 Hg 2.73
Ca1 0.3333 0.6667 0.5000  6 Li 3.32, 6 Hg 3.32
Hg1 0.6667 0.3333 0.0000  3 Li 2.73

Computed properties:
Magnetization, μB/cell: 0.00
Energy relative to the elements, eV/atom: -0.49
Distance to the lowest polymorph of the same formula, meV per atom: 59

***

Entry 3:
Density functional theory data (meta-GGA SCAN) for Li4CaTl at its PBEsol-relaxed geometry.

Cell: 5.5599 5.5599 5.5599 Å, 60.00 60.00 60.00°
Closest atoms and distances in Å follow each position.
Fractional coordinates of all 6 atoms:
Li1 0.3770 0.3770 0.3770  6 Li 2.73-2.83
Li2 0.3770 0.3770 0.8688  6 Li 2.73-2.83
Li3 0.3770 0.8688 0.3770  6 Li 2.73-2.83
Li4 0.8688 0.3770 0.3770  6 Li 2.73-2.83
Ca1 0.0000 0.0000 0.0000  12 Li 3.26, 4 Tl 3.40
Tl1 0.7500 0.7500 0.7500  12 Li 3.26, 4 Ca 3.40

Computed properties:
Magnetization, μB/cell: 0.66
Energy relative to the elements, eV/atom: -0.22

***

Entry 4:
Density functional theory data (meta-GGA SCAN) for SrTc2P at its PBEsol-relaxed geometry.

Cell: 5.4921 5.4921 2.8129 Å, 104.84 104.84 116.89°
Closest atoms and distances in Å follow each position.
Fractional coordinates of all 4 atoms:
Sr1 0.0000 0.0000 0.0000  4 Tc 2.75, 2 Sr 2.81, 4 P 2.87
Tc1 0.0000 0.5000 0.5000  2 Sr 2.75, 2 P 2.75, 6 Tc 2.81-2.87
Tc2 0.5000 0.0000 0.5000  2 Sr 2.75, 2 P 2.75, 6 Tc 2.81-2.87
P1 0.5000 0.5000 0.0000  4 Tc 2.75, 2 P 2.81, 4 Sr 2.87

Computed properties:
Magnetization, μB/cell: 0.00
Energy relative to the elements, eV/atom: 0.81
Distance to the lowest polymorph of the same formula, meV per atom: 511

***

Entry 5:
Density functional theory data (meta-GGA SCAN) for YTa7O19 at its PBEsol-relaxed geometry.

Cell: 6.1985 6.1985 19.9178 Å, 90.00 90.00 120.00°
Closest atoms and distances in Å follow each position.
Fractional coordinates of all 54 atoms:
Y1 0.0000 0.0000 0.0000  8 O 2.38-2.59
Y2 0.0000 0.0000 0.5000  8 O 2.38-2.59
Ta1 0.3327 0.0286 0.1556  6 O 1.91-2.04
Ta2 0.3327 0.0286 0.3444  6 O 1.91-2.04
Ta3 0.3327 0.3041 0.6556  6 O 1.91-2.04
Ta4 0.3327 0.3041 0.8444  6 O 1.91-2.04
Ta5 0.6667 0.3333 0.0000  6 O 1.99
Ta6 0.6667 0.3333 0.5000  6 O 1.99
Ta7 0.6959 0.0286 0.6556  6 O 1.91-2.04
Ta8 0.6959 0.0286 0.8444  6 O 1.91-2.04
Ta9 0.6959 0.6673 0.1556  6 O 1.91-2.04
Ta10 0.6959 0.6673 0.3444  6 O 1.91-2.04
Ta11 0.9714 0.3041 0.1556  6 O 1.91-2.04
Ta12 0.9714 0.3041 0.3444  6 O 1.91-2.04
Ta13 0.9714 0.6673 0.6556  6 O 1.91-2.04
Ta14 0.9714 0.6673 0.8444  6 O 1.91-2.04
O1 0.0000 0.0000 0.1300  3 Ta 2.04
O2 0.0000 0.0000 0.3700  3 Ta 2.04
O3 0.0000 0.0000 0.6300  3 Ta 2.04
O4 0.0000 0.0000 0.8700  3 Ta 2.04
O5 0.0851 0.4189 0.6531  2 Ta 1.99
O6 0.0851 0.4189 0.8469  2 Ta 1.99
O7 0.0851 0.6663 0.1531  2 Ta 1.99
O8 0.0851 0.6663 0.3469  2 Ta 1.99
O9 0.2868 0.0442 0.2500  2 Ta 1.91
O10 0.2868 0.2426 0.7500  2 Ta 1.91
O11 0.3337 0.4189 0.1531  2 Ta 1.99
O12 0.3337 0.4189 0.3469  2 Ta 1.99
O13 0.3337 0.9149 0.6531  2 Ta 1.99
O14 0.3337 0.9149 0.8469  2 Ta 1.99
O15 0.3773 0.0968 0.0558  2 Ta 1.99-2.02
O16 0.3773 0.0968 0.4442  2 Ta 1.99-2.02
O17 0.3773 0.2805 0.5558  2 Ta 1.99-2.02
O18 0.3773 0.2805 0.9442  2 Ta 1.99-2.02
O19 0.5811 0.6663 0.6531  2 Ta 1.99
O20 0.5811 0.6663 0.8469  2 Ta 1.99
O21 0.5811 0.9149 0.1531  2 Ta 1.99
O22 0.5811 0.9149 0.3469  2 Ta 1.99
O23 0.6667 0.3333 0.1674  3 Ta 2.00
O24 0.6667 0.3333 0.3326  3 Ta 2.00
O25 0.6667 0.3333 0.6674  3 Ta 2.00
O26 0.6667 0.3333 0.8326  3 Ta 2.00
O27 0.7195 0.0968 0.5558  2 Ta 1.99-2.02
O28 0.7195 0.0968 0.9442  2 Ta 1.99-2.02
O29 0.7195 0.6227 0.0558  2 Ta 1.99-2.02
O30 0.7195 0.6227 0.4442  2 Ta 1.99-2.02
O31 0.7574 0.0442 0.7500  2 Ta 1.91
O32 0.7574 0.7132 0.2500  2 Ta 1.91
O33 0.9032 0.2805 0.0558  2 Ta 1.99-2.02
O34 0.9032 0.2805 0.4442  2 Ta 1.99-2.02
O35 0.9032 0.6227 0.5558  2 Ta 1.99-2.02
O36 0.9032 0.6227 0.9442  2 Ta 1.99-2.02
O37 0.9558 0.2426 0.2500  2 Ta 1.91
O38 0.9558 0.7132 0.7500  2 Ta 1.91

Computed properties:
Magnetization, μB/cell: 0.00
Formation energy without anion corrections, kJ/mol of formula units: -8236

***

Entry 6:
Density functional theory data (meta-GGA SCAN) for Zr2BeCuIr at its PBEsol-relaxed geometry.

Cell: 4.6371 4.6371 3.9717 Å, 90.00 90.00 90.00°
Closest atoms and distances in Å follow each position.
Fractional coordinates of all 5 atoms:
Zr1 0.0000 0.5000 0.0000  2 Be 2.32
Zr2 0.5000 0.0000 0.0000  2 Be 2.32
Be1 0.0000 0.0000 0.0000  2 Ir 1.99
Cu1 0.5000 0.5000 0.5000  8 Zr 3.05, 4 Ir 3.28
Ir1 0.0000 0.0000 0.5000  2 Be 1.99

Computed properties:
Magnetization, μB/cell: 0.00
Energy relative to the elements, eV/atom: 0.04

***

Entry 7:
Density functional theory data (meta-GGA SCAN) for Co2AsO5 at its PBEsol-relaxed geometry.

Cell: 8.1421 8.3564 5.7608 Å, 90.00 90.00 90.00°
Closest atoms and distances in Å follow each position.
Fractional coordinates of all 32 atoms:
Co1 0.0000 0.0000 0.2410  4 O 1.83-1.96
Co2 0.0000 0.0000 0.7590  4 O 1.83-1.96
Co3 0.1523 0.3814 0.5000  5 O 1.83-2.01
Co4 0.3477 0.8814 0.0000  5 O 1.83-2.01
Co5 0.5000 0.5000 0.2590  4 O 1.83-1.96
Co6 0.5000 0.5000 0.7410  4 O 1.83-1.96
Co7 0.6523 0.1186 0.0000  5 O 1.83-2.01
Co8 0.8477 0.6186 0.5000  5 O 1.83-2.01
As1 0.2436 0.7497 0.5000  4 O 1.72-1.74
As2 0.2564 0.2497 0.0000  4 O 1.72-1.74
As3 0.7436 0.7503 0.0000  4 O 1.72-1.74
As4 0.7564 0.2503 0.5000  4 O 1.72-1.74
O1 0.0942 0.6031 0.5000  1 As 1.73, 1 Co 1.91
O2 0.1288 0.9325 0.0000  3 Co 1.83
O3 0.1361 0.2322 0.2433  1 As 1.72
O4 0.1361 0.2322 0.7567  1 As 1.72
O5 0.1397 0.9317 0.5000  1 As 1.74
O6 0.3603 0.4317 0.0000  1 As 1.74
O7 0.3639 0.7322 0.2567  1 As 1.72
O8 0.3639 0.7322 0.7433  1 As 1.72
O9 0.3712 0.4325 0.5000  3 Co 1.83
O10 0.4058 0.1031 0.0000  1 As 1.73, 1 Co 1.91
O11 0.5942 0.8969 0.0000  1 As 1.73, 1 Co 1.91
O12 0.6288 0.5675 0.5000  3 Co 1.83
O13 0.6361 0.2678 0.2567  1 As 1.72
O14 0.6361 0.2678 0.7433  1 As 1.72
O15 0.6397 0.5683 0.0000  1 As 1.74
O16 0.8603 0.0683 0.5000  1 As 1.74
O17 0.8639 0.7678 0.2433  1 As 1.72
O18 0.8639 0.7678 0.7567  1 As 1.72
O19 0.8712 0.0675 0.0000  3 Co 1.83
O20 0.9058 0.3969 0.5000  1 As 1.73, 1 Co 1.91

Computed properties:
Magnetization, μB/cell: 19.06
Formation energy without anion corrections, kJ/mol of formula units: -980

***

Entry 8:
Density functional theory data (meta-GGA SCAN) for CaHgSe2 at its PBEsol-relaxed geometry.

Cell: 4.0783 4.0783 5.8207 Å, 90.00 90.00 90.00°
Closest atoms and distances in Å follow each position.
Fractional coordinates of all 4 atoms:
Ca1 0.0000 0.0000 0.0000  6 Se 2.88-2.91
Hg1 0.5000 0.5000 0.5000  6 Se 2.88-2.91
Se1 0.0000 0.0000 0.5000  4 Hg 2.88, 2 Ca 2.91
Se2 0.5000 0.5000 0.0000  4 Ca 2.88, 2 Hg 2.91

Computed properties:
Magnetization, μB/cell: 0.00
Formation energy without anion corrections, kJ/mol of formula units: -437

***

Entry 9:
Density functional theory data (meta-GGA SCAN) for Ag2HgMo at its PBEsol-relaxed geometry.

Cell: 4.6052 4.6052 4.6052 Å, 60.00 60.00 60.00°
Closest atoms and distances in Å follow each position.
Fractional coordinates of all 4 atoms:
Ag1 0.0000 0.0000 0.0000  4 Hg 2.82, 4 Ag 2.82
Ag2 0.2500 0.2500 0.2500  4 Mo 2.82, 4 Ag 2.82
Hg1 0.7500 0.7500 0.7500  4 Ag 2.82, 4 Mo 2.82
Mo1 0.5000 0.5000 0.5000  4 Hg 2.82, 4 Ag 2.82

Computed properties:
Magnetization, μB/cell: 2.52
Energy relative to the elements, eV/atom: 0.59

***

Entry 10:
Density functional theory data (meta-GGA SCAN) for TaTc2P at its PBEsol-relaxed geometry.

Cell: 5.1131 5.1131 5.1131 Å, 146.71 129.15 62.15°
Closest atoms and distances in Å follow each position.
Fractional coordinates of all 4 atoms:
Ta1 0.0000 0.0000 0.0000  4 P 2.64, 8 Tc 2.88-2.90, 2 Ta 2.93
Tc1 0.2836 0.7836 0.5000  2 P 2.40
Tc2 0.7164 0.2164 0.5000  2 P 2.40
P1 0.5000 0.5000 0.0000  4 Tc 2.40, 4 Ta 2.64

Computed properties:
Magnetization, μB/cell: 0.00
Energy relative to the elements, eV/atom: -0.34

***

Entry 11:
Density functional theory data (meta-GGA SCAN) for Ca3Ag8 at its PBEsol-relaxed geometry.

Cell: 8.4550 8.4550 8.4550 Å, 109.47 109.47 109.47°
Closest atoms and distances in Å follow each position.
Fractional coordinates of all 22 atoms:
Ca1 0.0000 0.2786 0.2786  8 Ag 3.07-3.40
Ca2 0.0000 0.7214 0.7214  8 Ag 3.07-3.40
Ca3 0.2786 0.0000 0.2786  8 Ag 3.07-3.40
Ca4 0.2786 0.2786 0.0000  8 Ag 3.07-3.40
Ca5 0.7214 0.0000 0.7214  8 Ag 3.07-3.40
Ca6 0.7214 0.7214 0.0000  8 Ag 3.07-3.40
Ag1 0.0000 0.0000 0.5000  6 Ag 2.75
Ag2 0.0000 0.3423 0.6577  8 Ag 2.75-3.08, 2 Ca 3.07
Ag3 0.0000 0.5000 0.0000  6 Ag 2.75
Ag4 0.0000 0.6577 0.3423  8 Ag 2.75-3.08, 2 Ca 3.07
Ag5 0.3155 0.6577 0.6577  8 Ag 2.75-3.08, 2 Ca 3.07
Ag6 0.3423 0.0000 0.6577  8 Ag 2.75-3.08, 2 Ca 3.07
Ag7 0.3423 0.3423 0.6845  8 Ag 2.75-3.08, 2 Ca 3.07
Ag8 0.3423 0.6577 0.0000  8 Ag 2.75-3.08, 2 Ca 3.07
Ag9 0.3423 0.6845 0.3423  8 Ag 2.75-3.08, 2 Ca 3.07
Ag10 0.5000 0.0000 0.0000  6 Ag 2.75
Ag11 0.5000 0.5000 0.5000  6 Ag 2.75
Ag12 0.6577 0.0000 0.3423  8 Ag 2.75-3.08, 2 Ca 3.07
Ag13 0.6577 0.3155 0.6577  8 Ag 2.75-3.08, 2 Ca 3.07
Ag14 0.6577 0.3423 0.0000  8 Ag 2.75-3.08, 2 Ca 3.07
Ag15 0.6577 0.6577 0.3155  8 Ag 2.75-3.08, 2 Ca 3.07
Ag16 0.6845 0.3423 0.3423  8 Ag 2.75-3.08, 2 Ca 3.07

Computed properties:
Magnetization, μB/cell: 0.00
Energy relative to the elements, eV/atom: -0.22

***

The highest magnetization belongs to which entry? Co2AsO5

***

Copy entry 11 word for word.
Density functional theory data (meta-GGA SCAN) for Ca3Ag8 at its PBEsol-relaxed geometry.

Cell: 8.4550 8.4550 8.4550 Å, 109.47 109.47 109.47°
Closest atoms and distances in Å follow each position.
Fractional coordinates of all 22 atoms:
Ca1 0.0000 0.2786 0.2786  8 Ag 3.07-3.40
Ca2 0.0000 0.7214 0.7214  8 Ag 3.07-3.40
Ca3 0.2786 0.0000 0.2786  8 Ag 3.07-3.40
Ca4 0.2786 0.2786 0.0000  8 Ag 3.07-3.40
Ca5 0.7214 0.0000 0.7214  8 Ag 3.07-3.40
Ca6 0.7214 0.7214 0.0000  8 Ag 3.07-3.40
Ag1 0.0000 0.0000 0.5000  6 Ag 2.75
Ag2 0.0000 0.3423 0.6577  8 Ag 2.75-3.08, 2 Ca 3.07
Ag3 0.0000 0.5000 0.0000  6 Ag 2.75
Ag4 0.0000 0.6577 0.3423  8 Ag 2.75-3.08, 2 Ca 3.07
Ag5 0.3155 0.6577 0.6577  8 Ag 2.75-3.08, 2 Ca 3.07
Ag6 0.3423 0.0000 0.6577  8 Ag 2.75-3.08, 2 Ca 3.07
Ag7 0.3423 0.3423 0.6845  8 Ag 2.75-3.08, 2 Ca 3.07
Ag8 0.3423 0.6577 0.0000  8 Ag 2.75-3.08, 2 Ca 3.07
Ag9 0.3423 0.6845 0.3423  8 Ag 2.75-3.08, 2 Ca 3.07
Ag10 0.5000 0.0000 0.0000  6 Ag 2.75
Ag11 0.5000 0.5000 0.5000  6 Ag 2.75
Ag12 0.6577 0.0000 0.3423  8 Ag 2.75-3.08, 2 Ca 3.07
Ag13 0.6577 0.3155 0.6577  8 Ag 2.75-3.08, 2 Ca 3.07
Ag14 0.6577 0.3423 0.0000  8 Ag 2.75-3.08, 2 Ca 3.07
Ag15 0.6577 0.6577 0.3155  8 Ag 2.75-3.08, 2 Ca 3.07
Ag16 0.6845 0.3423 0.3423  8 Ag 2.75-3.08, 2 Ca 3.07

Computed properties:
Magnetization, μB/cell: 0.00
Energy relative to the elements, eV/atom: -0.22